Material: GdErMg
Method: DFT, GGA-PBE
State: optimized geometry

Cell lengths 7.390, 7.390, 7.390 Å; angles 90.00, 90.00, 90.00 degrees
Space group F-43m (No. 216)
Inequivalent atoms, fractional coordinates:
Gd 0.000 0.000 0.000 [4 per cell]
Er 0.000 0.000 0.500 [4 per cell]
Mg 0.250 0.250 0.750 [4 per cell]

Raw total energy ... -3.1647 eV per atom
M_tot ... 0.05 μB per formula unit


Material: PrGa3Pd
Method: DFT, GGA-PBE
State: optimized geometry

Cell lengths 4.358, 4.358, 10.576 Å; angles 90.00, 90.00, 90.00 degrees
Space group I4mm (No. 107)
Inequivalent atoms, fractional coordinates:
Pr 0.000 0.000 0.000 [2 per cell]
Ga 0.000 0.000 0.592 [2 per cell]
Ga 0.000 0.500 0.242 [4 per cell]
Pd 0.000 0.000 0.358 [2 per cell]

Raw total energy ... -4.5225 eV per atom
M_tot ... 0.01 μB per formula unit


Material: ErTmPd2
Method: DFT, GGA-PBE
State: optimized geometry

Cell lengths 4.449, 6.823, 5.609 Å; angles 90.00, 90.00, 90.00 degrees
Space group Pmn2_1 (No. 31)
Inequivalent atoms, fractional coordinates:
Er 0.000 0.068 0.000 [2 per cell]
Tm 0.000 0.568 0.785 [2 per cell]
Pd 0.000 0.211 0.486 [2 per cell]
Pd 0.000 0.706 0.298 [2 per cell]

E_form ... -3.8 eV/f.u.
M_tot ... 0.01 μB per formula unit


Material: TmOsPd
Method: DFT, GGA-PBE
State: optimized geometry

Cell lengths 6.308, 6.308, 6.308 Å; angles 90.00, 90.00, 90.00 degrees
Space group F-43m (No. 216)
Inequivalent atoms, fractional coordinates:
Tm 0.000 0.000 0.000 [4 per cell]
Os 0.000 0.000 0.500 [4 per cell]
Pd 0.250 0.250 0.750 [4 per cell]

E_form ... 0.9 eV/f.u.
M_tot ... 1.53 μB per formula unit